1.
Here is a relaxed structure of Hf2VMo from Alexandria via LeMat-Bulk. Energies are from PBE-GGA.

a b c (Å): 2.865 2.865 10.785
angles (deg): 82.37 82.37 60.00
Each line ends with the local moment (μB).
Sites, in units of the cell vectors:
Mo 0.500 0.500 0.500  0.07
Hf 0.086 0.086 0.743  0.00
Hf 0.914 0.914 0.257  0.00
V 0.000 0.000 0.000  0.81

- formation energy (kJ per mole of atoms) = 57

2.
Here is a relaxed structure of Pr2YLu from Alexandria via LeMat-Bulk. Energies are from PBE-GGA.

a b c (Å): 3.653 3.653 10.009
angles (deg): 90.00 90.00 90.00
Sites, in units of the cell vectors:
Pr 0.000 0.000 0.754
Pr 0.000 0.000 0.246
Y 0.500 0.500 0.500
Lu 0.500 0.500 0.000

- formation energy (kJ per mole of atoms) = 2

3.
Here is a relaxed structure of Pm8Th3 from Alexandria via LeMat-Bulk. Energies are from PBE-GGA.

a b c (Å): 6.542 8.870 8.913
angles (deg): 103.26 131.36 81.92
Sites, in units of the cell vectors:
Pm 0.878 0.163 0.079
Pm 0.258 0.593 0.267
Pm 0.154 0.147 0.698
Pm 0.502 0.781 0.775
Pm 0.498 0.219 0.225
Pm 0.846 0.853 0.302
Pm 0.742 0.407 0.733
Pm 0.122 0.837 0.921
Th 0.000 0.500 0.500
Th 0.500 0.000 0.500
Th 0.500 0.500 0.000

- formation energy (kJ per mole of atoms) = 15

4.
Here is a relaxed structure of Cs8Rb3Cd from Alexandria via LeMat-Bulk. Energies are from PBE-GGA.

a b c (Å): 10.356 16.203 16.203
angles (deg): 120.00 90.00 90.00
Sites, in units of the cell vectors:
Cs 0.977 0.047 0.524
Cs 0.977 0.476 0.953
Cs 0.977 0.476 0.524
Cs 0.477 0.953 0.476
Cs 0.477 0.524 0.047
Cs 0.477 0.524 0.476
Cs 0.773 0.406 0.203
Cs 0.773 0.797 0.594
Cs 0.773 0.797 0.203
Cs 0.273 0.594 0.797
Cs 0.273 0.203 0.406
Cs 0.273 0.203 0.797
Cs 0.656 0.333 0.667
Cs 0.156 0.667 0.333
Cs 0.014 0.000 0.000
Cs 0.514 0.000 0.000
Rb 0.762 0.685 0.842
Rb 0.762 0.158 0.315
Rb 0.762 0.158 0.842
Rb 0.262 0.315 0.158
Rb 0.262 0.842 0.685
Rb 0.262 0.842 0.158
Cd 0.065 0.333 0.667
Cd 0.565 0.667 0.333

- formation energy (kJ per mole of atoms) = 1

5.
Here is a relaxed structure of BeZnTe2 from Alexandria via LeMat-Bulk. Energies are from PBE-GGA.

a b c (Å): 5.596 5.596 6.840
angles (deg): 65.85 65.85 90.00
Sites, in units of the cell vectors:
Be 0.500 0.500 0.000
Be 0.250 0.750 0.500
Zn 0.000 0.000 0.000
Zn 0.750 0.250 0.500
Te 0.731 0.731 0.537
Te 0.019 0.519 0.963
Te 0.269 0.269 0.463
Te 0.481 0.981 0.037

- ΔE_f (raw) (eV/atom) = -0.006

6.
Here is a relaxed structure of TlInGaF6 from Alexandria via LeMat-Bulk. Energies are from PBE-GGA.

a b c (Å): 5.824 5.824 5.838
angles (deg): 90.04 89.96 59.89
Each line ends with the local moment (μB).
Sites, in units of the cell vectors:
Tl 0.000 0.000 0.000  -0.01
In 0.666 0.666 0.500  -0.12
Ga 0.333 0.333 0.500  0.00
F 0.047 0.357 0.311  -0.01
F 0.357 0.047 0.689  -0.01
F 0.596 0.358 0.689  -0.01
F 0.045 0.597 0.688  -0.01
F 0.358 0.596 0.311  -0.01
F 0.597 0.045 0.312  -0.01

- ΔE_f (raw) (eV/atom) = -2.263

7.
Here is a relaxed structure of Ti5SnAu2 from Alexandria via LeMat-Bulk. Energies are from PBE-GGA.

a b c (Å): 6.870 6.870 7.866
angles (deg): 115.90 115.90 90.00
Sites, in units of the cell vectors:
Ti 0.488 0.690 0.678
Ti 0.810 0.012 0.322
Ti 0.000 0.000 0.000
Ti 0.500 0.500 0.000
Ti 0.190 0.988 0.678
Ti 0.690 0.190 0.678
Ti 0.988 0.488 0.678
Ti 0.310 0.810 0.322
Ti 0.012 0.512 0.322
Ti 0.512 0.310 0.322
Sn 0.750 0.750 0.500
Sn 0.250 0.250 0.500
Au 0.142 0.358 0.000
Au 0.642 0.142 0.000
Au 0.358 0.858 0.000
Au 0.858 0.642 0.000

- formation energy (kJ per mole of atoms) = -23

8.
Here is a relaxed structure of Y2TaSb from Alexandria via LeMat-Bulk. Energies are from PBE-GGA.

a b c (Å): 8.378 8.378 6.647
angles (deg): 50.93 50.93 90.00
Sites, in units of the cell vectors:
Y 0.622 0.125 0.250
Y 0.128 0.625 0.250
Y 0.375 0.378 0.750
Y 0.875 0.872 0.750
Sb 0.500 0.500 0.000
Sb 0.250 0.750 0.500
Ta 0.000 0.000 0.000
Ta 0.750 0.250 0.500

- ΔE_f (raw) (eV/atom) = 0.365

9.
Here is a relaxed structure of TaV4Cu from Alexandria via LeMat-Bulk. Energies are from PBE-GGA.

a b c (Å): 4.964 4.964 4.964
angles (deg): 60.00 60.00 60.00
Sites, in units of the cell vectors:
V 0.623 0.623 0.132
V 0.623 0.132 0.623
V 0.623 0.623 0.623
V 0.132 0.623 0.623
Cu 0.000 0.000 0.000
Ta 0.250 0.250 0.250

- formation energy (kJ per mole of atoms) = 19

10.
Here is a relaxed structure of Tb3PrEr8 from Alexandria via LeMat-Bulk. Energies are from PBE-GGA.

a b c (Å): 8.596 8.596 8.596
angles (deg): 97.58 136.50 98.20
Sites, in units of the cell vectors:
Tb 0.500 0.744 0.244
Tb 0.500 0.256 0.756
Tb 0.000 0.500 0.500
Pr 0.000 0.000 0.000
Er 0.503 0.256 0.247
Er 0.497 0.744 0.753
Er 0.992 0.744 0.247
Er 0.008 0.256 0.753
Er 0.170 0.421 0.250
Er 0.830 0.081 0.251
Er 0.830 0.579 0.749
Er 0.170 0.919 0.750

- formation energy (kJ per mole of atoms) = 31

11.
Here is a relaxed structure of Dy7Y5 from Alexandria via LeMat-Bulk. Energies are from PBE-GGA.

a b c (Å): 3.568 9.446 12.062
angles (deg): 73.78 81.49 79.11
Sites, in units of the cell vectors:
Dy 0.639 0.972 0.751
Dy 0.361 0.028 0.249
Dy 0.027 0.695 0.250
Dy 0.973 0.305 0.750
Dy 0.334 0.334 0.999
Dy 0.500 0.500 0.500
Dy 0.666 0.666 0.001
Y 0.834 0.833 0.499
Y 0.166 0.167 0.501
Y 0.695 0.361 0.249
Y 0.305 0.639 0.751
Y 0.000 0.000 0.000

- formation energy (kJ per mole of atoms) = 1

12.
Here is a relaxed structure of Ba2InNiPb6 from Alexandria via LeMat-Bulk. Energies are from PBE-GGA.

a b c (Å): 7.377 7.377 15.093
angles (deg): 75.86 75.86 60.00
Sites, in units of the cell vectors:
Ba 0.888 0.888 0.336
Ba 0.112 0.112 0.664
Ba 0.720 0.720 0.839
Ba 0.280 0.280 0.161
In 0.576 0.576 0.271
In 0.424 0.424 0.729
Ni 0.000 0.000 0.000
Ni 0.500 0.500 0.500
Pb 0.900 0.345 0.410
Pb 0.345 0.900 0.410
Pb 0.345 0.345 0.410
Pb 0.100 0.655 0.590
Pb 0.655 0.100 0.590
Pb 0.655 0.655 0.590
Pb 0.674 0.210 0.905
Pb 0.210 0.674 0.905
Pb 0.210 0.210 0.905
Pb 0.326 0.790 0.095
Pb 0.790 0.326 0.095
Pb 0.790 0.790 0.095

- formation energy (kJ per mole of atoms) = -17

13.
Here is a relaxed structure of Tm3Co2Ge3 from Alexandria via LeMat-Bulk. Energies are from PBE-GGA.

a b c (Å): 5.530 7.790 13.775
angles (deg): 90.00 90.00 90.00
Sites, in units of the cell vectors:
Tm 0.124 0.459 0.388
Tm 0.624 0.041 0.612
Tm 0.876 0.541 0.888
Tm 0.376 0.959 0.112
Tm 0.876 0.541 0.612
Tm 0.376 0.959 0.388
Tm 0.124 0.459 0.112
Tm 0.624 0.041 0.888
Tm 0.632 0.315 0.250
Tm 0.132 0.185 0.750
Tm 0.368 0.685 0.750
Tm 0.868 0.815 0.250
Co 0.889 0.084 0.406
Co 0.389 0.416 0.594
Co 0.111 0.916 0.906
Co 0.611 0.584 0.094
Co 0.111 0.916 0.594
Co 0.611 0.584 0.406
Co 0.889 0.084 0.094
Co 0.389 0.416 0.906
Ge 0.104 0.164 0.250
Ge 0.604 0.336 0.750
Ge 0.896 0.836 0.750
Ge 0.396 0.664 0.250
Ge 0.630 0.303 0.460
Ge 0.130 0.197 0.540
Ge 0.370 0.697 0.960
Ge 0.870 0.803 0.040
Ge 0.370 0.697 0.540
Ge 0.870 0.803 0.460
Ge 0.630 0.303 0.040
Ge 0.130 0.197 0.960

- formation energy (kJ per mole of atoms) = -69

14.
Here is a relaxed structure of GaPF2 from Alexandria via LeMat-Bulk. Energies are from PBE-GGA.

a b c (Å): 8.158 8.158 8.158
angles (deg): 19.95 19.95 19.95
Sites, in units of the cell vectors:
P 0.000 0.000 0.000
Ga 0.500 0.500 0.500
F 0.925 0.925 0.925
F 0.075 0.075 0.075

- ΔE_f (raw) (eV/atom) = -1.161

15.
Here is a relaxed structure of Ga3SnPb from Alexandria via LeMat-Bulk. Energies are from PBE-GGA.

a b c (Å): 5.301 5.842 8.458
angles (deg): 110.20 90.00 90.00
Sites, in units of the cell vectors:
Ga 0.750 0.613 0.739
Ga 0.750 0.126 0.739
Ga 0.250 0.874 0.261
Ga 0.250 0.387 0.261
Ga 0.000 0.000 0.000
Ga 0.500 0.000 0.000
Sn 0.750 0.563 0.125
Sn 0.250 0.437 0.875
Pb 0.750 0.194 0.389
Pb 0.250 0.806 0.611

- formation energy (kJ per mole of atoms) = 9

16.
Here is a relaxed structure of BC3 from Alexandria via LeMat-Bulk. Energies are from PBE-GGA.

a b c (Å): 2.549 2.549 4.400
angles (deg): 90.00 90.00 120.00
Sites, in units of the cell vectors:
C 0.000 0.000 0.150
C 0.000 0.000 0.806
C 0.333 0.667 0.274
B 0.333 0.667 0.642

- formation energy (kJ per mole of atoms) = 31

17.
Here is a relaxed structure of K3Pa2TcN6 from Alexandria via LeMat-Bulk. Energies are from PBE-GGA.

a b c (Å): 5.935 5.935 6.693
angles (deg): 98.41 98.41 120.01
Each line ends with the local moment (μB).
Sites, in units of the cell vectors:
K 0.158 0.842 0.500  0.00
K 0.842 0.158 0.500  0.00
K 0.500 0.500 0.500  0.00
Pa 0.333 0.667 0.000  0.13
Pa 0.667 0.333 0.000  0.13
Tc 0.000 0.000 0.000  1.35
N 0.945 0.629 0.834  0.02
N 0.737 0.737 0.166  0.02
N 0.055 0.371 0.166  0.02
N 0.629 0.945 0.834  0.02
N 0.263 0.263 0.834  0.02
N 0.371 0.055 0.166  0.02

- ΔE_f (raw) (eV/atom) = -0.708

18.
Here is a relaxed structure of TbNd3Al8 from Alexandria via LeMat-Bulk. Energies are from PBE-GGA.

a b c (Å): 5.655 5.655 9.822
angles (deg): 73.27 73.27 60.00
Sites, in units of the cell vectors:
Tb 0.875 0.875 0.374
Nd 0.375 0.375 0.875
Nd 0.000 0.000 0.001
Nd 0.500 0.500 0.500
Al 0.936 0.437 0.190
Al 0.439 0.938 0.685
Al 0.437 0.437 0.190
Al 0.938 0.938 0.685
Al 0.188 0.188 0.437
Al 0.687 0.687 0.938
Al 0.437 0.936 0.190
Al 0.938 0.439 0.685

- formation energy (kJ per mole of atoms) = -48

19.
Here is a relaxed structure of Nd2Er2Rh3 from Alexandria via LeMat-Bulk. Energies are from PBE-GGA.

a b c (Å): 4.381 6.002 7.474
angles (deg): 99.04 89.96 111.38
Sites, in units of the cell vectors:
Nd 0.868 0.735 0.645
Nd 0.132 0.265 0.355
Er 0.639 0.277 0.932
Er 0.361 0.723 0.068
Rh 0.000 0.000 0.000
Rh 0.806 0.613 0.263
Rh 0.194 0.387 0.737

- formation energy (kJ per mole of atoms) = -62

20.
Here is a relaxed structure of YCrAu2 from Alexandria via LeMat-Bulk. Energies are from PBE-GGA.

a b c (Å): 4.803 4.803 4.803
angles (deg): 60.00 60.00 60.00
Each line ends with the local moment (μB).
Sites, in units of the cell vectors:
Au 0.000 0.000 0.000  -0.03
Au 0.250 0.250 0.250  0.00
Cr 0.500 0.500 0.500  3.60
Y 0.750 0.750 0.750  0.03

- formation energy (kJ per mole of atoms) = -21